## LiH5Pd2Rh (PBE-GGA)

Data for a relaxed structure of LiH5Pd2Rh.

Lattice parameters (Å, degrees): 3.4364 4.5724 5.7284 113.52 107.45 90.00
Sites, in units of the cell vectors:
1 Li 0.0000 0.5000 0.0000
2 H 0.6391 0.8990 0.2782
3 H 0.3609 0.1010 0.7218
4 H 0.3609 0.6208 0.7218
5 H 0.6391 0.3792 0.2782
6 H 0.0000 0.0000 0.0000
7 Pd 0.2330 0.2330 0.4660
8 Pd 0.7670 0.7670 0.5340
9 Rh 0.5000 0.0000 0.0000

Values from the calculation:
The total energy is -4.202 eV per atom. Its calculated density is 6.98 g/cm³. The crystal system is orthorhombic.